Record 1
Density functional theory data (meta-GGA SCAN) for a PBEsol-optimized structure of Ba2TaAg.

Summary:
E = -174.1 eV per cell

a b c (Å): 3.4090 5.7859 6.6648
angles (deg): 110.35 104.82 90.00
With the nearest neighbours (Å) after each atom.
Atoms (fractional coordinates):
Ba1 0.0266 0.0533 0.0532  3 Ba 3.41-3.73, 4 Ta 3.42-3.49, 3 Ag 3.57-3.65
Ba2 0.2282 0.7049 0.4565  3 Ba 3.41-3.73, 4 Ag 3.42-3.44, 3 Ta 3.59-3.67
Ag1 0.7876 0.2508 0.5751  2 Ta 2.73
Ta1 0.4576 0.4910 0.9152  2 Ag 2.73



Record 2
Density functional theory data (meta-GGA SCAN) for a PBEsol-optimized structure of Ba2TaAg.

Summary:
E = -173.8 eV per cell

a b c (Å): 3.5999 4.9798 7.0358
angles (deg): 90.00 104.82 90.00
With the nearest neighbours (Å) after each atom.
Atoms (fractional coordinates):
Ba1 0.0885 0.0000 0.1770  2 Ta 3.36, 4 Ag 3.42, 2 Ba 3.60
Ba2 0.3979 0.5000 0.7958  2 Ag 3.25, 4 Ta 3.37, 2 Ba 3.60
Ag1 0.6988 0.5000 0.3975  2 Ta 2.83
Ta1 0.7969 0.0000 0.5938  2 Ag 2.83



Record 3
Density functional theory data (meta-GGA SCAN) for a PBEsol-optimized structure of BaTa2Ag.

Summary:
E = -199.1 eV per cell

a b c (Å): 2.8543 5.2152 5.8683
angles (deg): 90.00 90.00 90.00
With the nearest neighbours (Å) after each atom.
Atoms (fractional coordinates):
Ba1 0.5000 0.5000 0.5000  2 Ba 2.85, 2 Ag 2.93
Ag1 0.5000 0.5000 0.0000  2 Ag 2.85, 2 Ba 2.93
Ta1 0.0000 0.0000 0.7595  4 Ta 2.82-3.05
Ta2 0.0000 0.0000 0.2405  4 Ta 2.82-3.05



Record 4
Density functional theory data (meta-GGA SCAN) for a PBEsol-optimized structure of BaTaAg2.

Summary:
E = -164.9 eV per cell

a b c (Å): 3.5727 4.8826 4.9960
angles (deg): 90.00 90.00 90.00
With the nearest neighbours (Å) after each atom.
Atoms (fractional coordinates):
Ba1 0.5000 0.5000 0.0000  4 Ag 3.03, 4 Ta 3.07
Ag1 0.0000 0.0000 0.0000  4 Ba 3.03, 4 Ag 3.07
Ag2 0.5000 0.0000 0.5000  4 Ta 3.03, 4 Ag 3.07
Ta1 0.0000 0.5000 0.5000  4 Ag 3.03, 4 Ba 3.07



Record 5
Density functional theory data (meta-GGA SCAN) for a PBEsol-optimized structure of BaTaAg2.

Summary:
E = -166.0 eV per cell

a b c (Å): 3.0912 3.0912 10.5426
angles (deg): 81.57 81.57 60.00
With the nearest neighbours (Å) after each atom.
Atoms (fractional coordinates):
Ba1 0.5000 0.5000 0.5000  6 Ba 3.09, 6 Ag 3.44
Ag1 0.2610 0.2610 0.2169  3 Ta 2.87, 6 Ag 3.09
Ag2 0.7390 0.7390 0.7831  3 Ta 2.87, 6 Ag 3.09
Ta1 0.0000 0.0000 0.0000  6 Ag 2.87, 6 Ta 3.09



Record 6
Density functional theory data (meta-GGA SCAN) for a PBEsol-optimized structure of BaTaAg2.

Summary:
E = -166.4 eV per cell

a b c (Å): 2.9893 4.6608 6.8710
angles (deg): 90.00 102.52 90.00
With the nearest neighbours (Å) after each atom.
Atoms (fractional coordinates):
Ba1 0.5483 0.0000 0.4722  2 Ba 2.99, 5 Ag 3.29-3.33
Ag1 0.7971 0.0000 0.9686  4 Ag 2.83-2.99, 4 Ta 2.88
Ag2 0.9160 0.5000 0.2078  2 Ta 2.82, 4 Ag 2.83-2.99
Ta1 0.2386 0.5000 0.8514  6 Ag 2.82-2.88, 2 Ta 2.99



Distance to the lowest polymorph of the same formula, record by record: 0; 73; 712; 368; 89; 0 meV per atom